Ca2PaGe4Pt3 | PBE | relaxed

Crystal system ... tetragonal
DFT formation energy ... -6.815 eV/f.u.

Cell: 4.2537 4.2537 11.7229 Å, 90.00 90.00 90.00°
Last column: nearest neighbours and their distance in Å.
Space group P-4m2 (No. 115)
Asymmetric unit:
Ca 0.0000 0.5000 0.2282  8 Ge 3.24-3.42, 4 Pt 3.27
Pa 0.0000 0.0000 0.5000  4 Ge 2.90, 4 Pt 3.01
Ge 0.0000 0.0000 0.0000  4 Pt 2.54
Ge 0.0000 0.5000 0.6684  1 Pt 2.50
Ge 0.5000 0.5000 0.0000  4 Pt 2.54
Pt 0.0000 0.5000 0.8814  5 Ge 2.50-2.54
Pt 0.5000 0.5000 0.5000  4 Ge 2.90, 4 Pa 3.01


Ca2PaGe3Pt4 | PBE | relaxed

Crystal system ... tetragonal
DFT formation energy ... -7.844 eV/f.u.

Cell: 4.3257 4.3257 11.1653 Å, 90.00 90.00 90.00°
Last column: nearest neighbours and their distance in Å.
Space group P-4m2 (No. 115)
Asymmetric unit:
Ca 0.0000 0.5000 0.2227  4 Ge 3.26, 8 Pt 3.30-3.34
Pa 0.0000 0.0000 0.5000  4 Pt 2.79, 4 Ge 3.06
Ge 0.0000 0.5000 0.8794  5 Pt 2.47-2.55
Ge 0.5000 0.5000 0.5000  4 Pt 2.79, 4 Pa 3.06
Pt 0.0000 0.0000 0.0000  4 Ge 2.55
Pt 0.0000 0.5000 0.6582  1 Ge 2.47
Pt 0.5000 0.5000 0.0000  4 Ge 2.55


CaPaZnGe | PBE | relaxed

Crystal system ... cubic
DFT formation energy ... -0.619 eV/f.u.

Cell: 7.1294 7.1294 7.1294 Å, 90.00 90.00 90.00°
Last column: nearest neighbours and their distance in Å.
Space group F-43m (No. 216)
Asymmetric unit:
Ca 0.0000 0.0000 0.0000  4 Ge 3.09, 4 Zn 3.09
Pa 0.0000 0.0000 0.5000  4 Ge 3.09, 4 Zn 3.09
Zn 0.2500 0.2500 0.2500  4 Pa 3.09, 4 Ca 3.09
Ge 0.2500 0.2500 0.7500  4 Pa 3.09, 4 Ca 3.09


Ca8Ge2Pb | PBE | relaxed

Crystal system ... monoclinic
DFT formation energy ... -4.359 eV/f.u.

Cell: 18.8592 5.1242 7.5193 Å, 90.00 104.02 90.00°
Last column: nearest neighbours and their distance in Å.
Space group C2/m (No. 12)
Asymmetric unit:
Ca 0.0376 0.0000 0.2749  1 Ge 3.14, 2 Pb 3.24
Ca 0.0951 0.5000 0.9592  1 Pb 3.48, 2 Ge 3.49, 9 Ca 3.60-3.82
Ca 0.1708 0.5000 0.4602  3 Ge 3.04-3.26, 1 Pb 3.31
Ca 0.2044 0.0000 0.8190  3 Ge 3.02-3.22
Ge 0.1967 0.0000 0.2154  7 Ca 3.02-3.26
Pb 0.0000 0.5000 0.5000  8 Ca 3.24-3.48


CaGe2Pb | PBE | relaxed

Crystal system ... tetragonal
DFT formation energy ... -0.786 eV/f.u.

Cell: 4.6573 4.6573 4.4188 Å, 90.00 90.00 90.00°
Last column: nearest neighbours and their distance in Å.
Space group P4/mmm (No. 123)
Asymmetric unit:
Ca 0.0000 0.0000 0.0000  8 Ge 3.21, 4 Pb 3.29
Ge 0.0000 0.5000 0.5000  4 Pb 3.21, 4 Ca 3.21, 4 Ge 3.29
Pb 0.5000 0.5000 0.0000  8 Ge 3.21, 4 Ca 3.29


CaGe2Pb2 | PBE | relaxed

Crystal system ... tetragonal
DFT formation energy ... -0.721 eV/f.u.

Cell: 7.9058 7.9058 4.3356 Å, 90.00 90.00 90.00°
Last column: nearest neighbours and their distance in Å.
Space group P4/mbm (No. 127)
Asymmetric unit:
Ca 0.0000 0.0000 0.0000  4 Ge 3.17
Ge 0.1156 0.3844 0.0000  1 Ge 2.59
Pb 0.1661 0.6661 0.5000  6 Ge 3.13-3.26


Ca2GePb | PBE | relaxed

Crystal system ... cubic
DFT formation energy ... -1.860 eV/f.u.

Cell: 7.6158 7.6158 7.6158 Å, 90.00 90.00 90.00°
Last column: nearest neighbours and their distance in Å.
Space group Fm-3m (No. 225)
Asymmetric unit:
Ca 0.2500 0.2500 0.2500  4 Ge 3.30, 4 Pb 3.30
Ge 0.0000 0.0000 0.0000  8 Ca 3.30
Pb 0.0000 0.0000 0.5000  8 Ca 3.30


CaGe2Pb2 | PBE | relaxed

Crystal system ... tetragonal
DFT formation energy ... -0.414 eV/f.u.

Cell: 4.6647 4.6647 13.3041 Å, 90.00 90.00 90.00°
Last column: nearest neighbours and their distance in Å.
Space group I4/mmm (No. 139)
Asymmetric unit:
Ca 0.0000 0.0000 0.0000  8 Ge 3.52
Ge 0.0000 0.0000 0.4076  1 Ge 2.46
Pb 0.0000 0.5000 0.2500  4 Ge 3.14, 4 Pb 3.30


CaGePb3 | PBE | relaxed

Crystal system ... cubic
DFT formation energy ... 4.033 eV/f.u.

Cell: 5.8030 5.8030 5.8030 Å, 90.00 90.00 90.00°
Last column: nearest neighbours and their distance in Å.
Space group Pm-3m (No. 221)
Asymmetric unit:
Ca 0.0000 0.0000 0.0000  6 Pb 2.90
Ge 0.5000 0.5000 0.5000  12 Pb 4.10
Pb 0.0000 0.0000 0.5000  2 Ca 2.90


CaGePb | PBE | relaxed

Crystal system ... monoclinic
DFT formation energy ... -1.071 eV/f.u.

Cell: 15.6192 3.8688 5.6071 Å, 90.00 102.37 90.00°
Last column: nearest neighbours and their distance in Å.
Space group C2/m (No. 12)
Asymmetric unit:
Ca 0.1340 0.0000 0.3090  4 Ge 3.05-3.33
Ge 0.2371 0.0000 0.8467  2 Ge 2.56
Pb 0.0688 0.5000 0.7724  3 Ge 3.22-3.31, 1 Pb 3.34, 4 Ca 3.54-3.56


Ca12Ge5Pb3 | PBE | relaxed

Crystal system ... cubic
DFT formation energy ... -3.954 eV/f.u.

Cell: 18.0597 18.0597 18.0597 Å, 90.00 90.00 90.00°
Last column: nearest neighbours and their distance in Å.
Space group Ia-3d (No. 230)
Asymmetric unit:
Ca 0.0252 0.0674 0.6452  2 Ge 2.88-2.93
Ge 0.0000 0.0000 0.0000  6 Ca 2.93
Ge 0.0000 0.2500 0.3750  4 Ca 2.88
Pb 0.0000 0.2500 0.1250  8 Ca 3.35-3.52


Ca5Ge2Pb | PBE | relaxed

Crystal system ... tetragonal
DFT formation energy ... -5.147 eV/f.u.

Cell: 7.8583 7.8583 15.2521 Å, 90.00 90.00 90.00°
Last column: nearest neighbours and their distance in Å.
Space group I4/mcm (No. 140)
Asymmetric unit:
Ca 0.0000 0.0000 0.0000  4 Ge 3.14
Ca 0.1758 0.3242 0.1354  3 Ge 3.08-3.13, 2 Pb 3.38
Ge 0.1185 0.3815 0.5000  1 Ge 2.63
Pb 0.0000 0.0000 0.2500  8 Ca 3.38


- Which formula does entry 3 have?
  CaPaZnGe